[1]
VASP calculation (PBE-GGA) on an optimized crystal structure of Cr3Mo3N.

Lattice parameters (Å, degrees): 7.9205 7.9205 7.9205 60.00 60.00 60.00
Atoms (fractional coordinates):
Mo (0.0547, 0.4453, 0.4453)
Mo (0.1953, 0.1953, 0.8047)
Mo (0.8047, 0.8047, 0.1953)
Mo (0.8047, 0.1953, 0.1953)
Mo (0.1953, 0.8047, 0.8047)
Mo (0.4453, 0.0547, 0.0547)
Mo (0.4453, 0.4453, 0.0547)
Mo (0.0547, 0.4453, 0.0547)
Mo (0.4453, 0.0547, 0.4453)
Mo (0.8047, 0.1953, 0.8047)
Mo (0.0547, 0.0547, 0.4453)
Mo (0.1953, 0.8047, 0.1953)
Cr (0.8302, 0.8302, 0.5093)
Cr (0.7407, 0.4198, 0.4198)
Cr (0.5093, 0.8302, 0.8302)
Cr (0.8302, 0.8302, 0.8302)
Cr (0.4198, 0.4198, 0.7407)
Cr (0.8302, 0.5093, 0.8302)
Cr (0.6250, 0.6250, 0.1250)
Cr (0.6250, 0.6250, 0.6250)
Cr (0.4198, 0.7407, 0.4198)
Cr (0.4198, 0.4198, 0.4198)
Cr (0.1250, 0.6250, 0.6250)
Cr (0.6250, 0.1250, 0.6250)
N (0.1250, 0.1250, 0.1250)
N (0.6250, 0.1250, 0.1250)
N (0.1250, 0.6250, 0.1250)
N (0.1250, 0.1250, 0.6250)

Properties
ΔE_f (raw)   -0.12 eV per atom
Crystal system   cubic
DFT total energy   -10.076 eV/atom
Symmetry   Fd-3m

=====

[2]
VASP calculation (PBE-GGA) on an optimized crystal structure of Pu4Cd2N.

Lattice parameters (Å, degrees): 4.8456 4.8456 8.5505 73.54 73.54 90.00
Atoms (fractional coordinates):
N (0.0000, 0.0000, 0.0000)
Pu (0.8465, 0.8465, 0.3071)
Pu (0.1535, 0.1535, 0.6929)
Pu (0.0000, 0.5000, 0.0000)
Pu (0.5000, 0.0000, 0.0000)
Cd (0.6401, 0.6401, 0.7197)
Cd (0.3599, 0.3599, 0.2803)

Properties
ΔE_f (raw)   -0.14 eV per atom
Crystal system   tetragonal
DFT total energy   -9.785 eV/atom
Symmetry   I4/mmm

=====

[3]
VASP calculation (PBE-GGA) on an optimized crystal structure of CsSn2F11.

Lattice parameters (Å, degrees): 8.0698 9.6250 9.6250 72.47 65.22 65.22
Atoms (fractional coordinates):
Sn (0.8400, 0.2451, 0.7549)
Sn (0.3400, 0.2549, 0.7451)
Sn (0.6600, 0.7451, 0.2549)
Sn (0.1600, 0.7549, 0.2451)
Cs (0.2500, 0.2500, 0.2500)
Cs (0.7500, 0.7500, 0.7500)
F (0.1945, 0.2542, 0.9659)
F (0.5000, 0.5000, 0.5000)
F (0.7244, 0.5166, 0.2757)
F (0.0167, 0.9834, 0.2243)
F (0.9833, 0.0166, 0.7757)
F (0.9112, 0.7016, 0.2984)
F (0.0854, 0.7542, 0.4659)
F (0.2244, 0.7757, 0.0166)
F (0.8055, 0.7458, 0.0341)
F (0.6945, 0.4659, 0.7542)
F (0.0888, 0.2984, 0.7016)
F (0.5854, 0.9659, 0.2542)
F (0.4833, 0.2757, 0.5166)
F (0.0000, 0.0000, 0.0000)
F (0.2756, 0.4834, 0.7243)
F (0.3055, 0.5341, 0.2458)
F (0.5167, 0.7243, 0.4834)
F (0.7756, 0.2243, 0.9834)
F (0.9146, 0.2458, 0.5341)
F (0.5888, 0.2016, 0.7984)
F (0.4146, 0.0341, 0.7458)
F (0.4112, 0.7984, 0.2016)

Properties
ΔE_f (raw)   -2.12 eV per atom
Crystal system   orthorhombic
DFT total energy   -4.220 eV/atom
Symmetry   Ibam

=====

| no. | magnetization (μB per cell) |
| --- | --- |
| 1 | 0.00 |
| 2 | 23.46 |
| 3 | 4.26 |